No. 1
# SbPCl6O2 meta-GGA SCAN PBEsol geometry
# total magnetic moment = 0.000 μB per formula unit
# energy = -11.965 eV/atom
# Fermi-level density of states = 0.00 states/eV/f.u.
# formation energy (no corrections) = -11.66 eV/f.u.
data_SbPCl6O2
_chemical_formula_sum 'Sb4 P4 Cl24 O8'
_cell_length_a 8.6209
_cell_length_b 11.4663
_cell_length_c 11.4108
_cell_angle_alpha 90.00
_cell_angle_beta 109.32
_cell_angle_gamma 90.00
_space_group_name_H-M_alt 'P 1 21/c 1'
_space_group_IT_number 14
loop_
_space_group_symop_operation_xyz
'x,y,z'
'-x,-y,-z'
'-x,y+1/2,-z+1/2'
'x,-y+1/2,z+1/2'
loop_
_atom_site_label
_atom_site_fract_x
_atom_site_fract_y
_atom_site_fract_z
_atom_site_occupancy
Sb1 0.1979 0.0406 0.2237 1
P1 0.1969 0.5933 0.4576 1
Cl1 0.0489 0.6340 0.7037 1
Cl2 0.1348 0.0974 0.4001 1
Cl3 0.3008 0.7413 0.5318 1
Cl4 0.3099 0.5467 0.3397 1
Cl5 0.3188 0.2187 0.2065 1
Cl6 0.4502 0.5489 0.8293 1
O1 0.0169 0.6215 0.3899 1
O2 0.2327 0.0033 0.0546 1

---

No. 2
# P2PtI meta-GGA SCAN PBEsol geometry
# total magnetic moment = 0.000 μB per formula unit
# energy = -31.748 eV/atom
# Fermi-level density of states = 3.03 states/eV/f.u.
# formation energy (no corrections) = 0.74 eV/f.u.
data_P2PtI
_chemical_formula_sum 'P8 Pt4 I4'
_cell_length_a 6.6246
_cell_length_b 6.6246
_cell_length_c 8.1506
_cell_angle_alpha 90.00
_cell_angle_beta 90.00
_cell_angle_gamma 90.00
_space_group_name_H-M_alt 'I -4 2 d'
_space_group_IT_number 122
_space_group_name_Hall 'I -4 2bw'
loop_
_atom_site_label
_atom_site_fract_x
_atom_site_fract_y
_atom_site_fract_z
_atom_site_occupancy
P1 0.1760 0.7500 0.1250 1
Pt1 0.0000 0.0000 0.0000 1
I1 0.0000 0.0000 0.5000 1

---

No. 3
# CdFeSi2 meta-GGA SCAN PBEsol geometry
# total magnetic moment = 1.861 μB per formula unit
# energy = -16.769 eV/atom
# Fermi-level density of states = 1.77 states/eV/f.u.
# formation energy (no corrections) = 1.50 eV/f.u.
data_CdFeSi2
_chemical_formula_sum 'Cd3 Fe3 Si6'
_cell_length_a 2.8869
_cell_length_b 2.8869
_cell_length_c 24.4087
_cell_angle_alpha 90.00
_cell_angle_beta 90.00
_cell_angle_gamma 120.00
_space_group_name_H-M_alt 'R 3 m'
_space_group_IT_number 160
_space_group_name_Hall 'R 3 -2"'
loop_
_atom_site_label
_atom_site_fract_x
_atom_site_fract_y
_atom_site_fract_z
_atom_site_occupancy
Cd1 0.0000 0.0000 0.0000 1
Fe1 0.0000 0.0000 0.2437 1
Si1 0.0000 0.0000 0.5135 1
Si2 0.0000 0.0000 0.7657 1

---

No. 4
# LiFeAsSe2 meta-GGA SCAN PBEsol geometry
# total magnetic moment = 2.695 μB per formula unit
# energy = -16.164 eV/atom
# Fermi-level density of states = 3.63 states/eV/f.u.
# formation energy (no corrections) = 0.05 eV/f.u.
data_LiFeAsSe2
_chemical_formula_sum 'Li1 Fe1 As1 Se2'
_cell_length_a 4.8757
_cell_length_b 4.8757
_cell_length_c 4.3730
_cell_angle_alpha 90.00
_cell_angle_beta 90.00
_cell_angle_gamma 90.00
_space_group_name_H-M_alt 'P 4/m m m'
_space_group_IT_number 123
_space_group_name_Hall '-P 4 2'
loop_
_atom_site_label
_atom_site_fract_x
_atom_site_fract_y
_atom_site_fract_z
_atom_site_occupancy
Li1 0.0000 0.0000 0.0000 1
Fe1 0.5000 0.5000 0.5000 1
As1 0.5000 0.5000 0.0000 1
Se1 0.0000 0.5000 0.5000 1

---

No. 5
# AlCdBr2 meta-GGA SCAN PBEsol geometry
# total magnetic moment = 0.000 μB per formula unit
# energy = -19.447 eV/atom
# Fermi-level density of states = 1.14 states/eV/f.u.
# formation energy (no corrections) = -0.70 eV/f.u.
# energy above the lowest structure with this stoichiometry = 361 meV/atom
data_AlCdBr2
_chemical_formula_sum 'Al1 Cd1 Br2'
_cell_length_a 4.2988
_cell_length_b 4.2988
_cell_length_c 6.0745
_cell_angle_alpha 90.00
_cell_angle_beta 90.00
_cell_angle_gamma 90.00
_space_group_name_H-M_alt 'P 4/m m m'
_space_group_IT_number 123
_space_group_name_Hall '-P 4 2'
loop_
_atom_site_label
_atom_site_fract_x
_atom_site_fract_y
_atom_site_fract_z
_atom_site_occupancy
Al1 0.0000 0.0000 0.0000 1
Cd1 0.5000 0.5000 0.5000 1
Br1 0.0000 0.0000 0.5000 1
Br2 0.5000 0.5000 0.0000 1

---

No. 6
# TaNb2BrF meta-GGA SCAN PBEsol geometry
# total magnetic moment = 0.000 μB per formula unit
# energy = -30.617 eV/atom
# Fermi-level density of states = 3.02 states/eV/f.u.
# formation energy (no corrections) = 2.76 eV/f.u.
data_TaNb2BrF
_chemical_formula_sum 'Ta1 Nb2 Br1 F1'
_cell_length_a 4.3745
_cell_length_b 4.3745
_cell_length_c 4.3021
_cell_angle_alpha 90.00
_cell_angle_beta 90.00
_cell_angle_gamma 90.00
_space_group_name_H-M_alt 'P 4/m m m'
_space_group_IT_number 123
_space_group_name_Hall '-P 4 2'
loop_
_atom_site_label
_atom_site_fract_x
_atom_site_fract_y
_atom_site_fract_z
_atom_site_occupancy
Ta1 0.0000 0.0000 0.0000 1
Nb1 0.0000 0.5000 0.5000 1
Br1 0.5000 0.5000 0.0000 1
F1 0.0000 0.0000 0.5000 1

---

No. 7
# BaMgAs2 meta-GGA SCAN PBEsol geometry
# total magnetic moment = 0.000 μB per formula unit
# energy = -21.627 eV/atom
# Fermi-level density of states = 1.76 states/eV/f.u.
# energy of formation from the pure elements = -0.40 eV per atom
data_BaMgAs2
_chemical_formula_sum 'Ba2 Mg2 As4'
_cell_length_a 7.2669
_cell_length_b 8.2282
_cell_length_c 3.4036
_cell_angle_alpha 90.00
_cell_angle_beta 90.00
_cell_angle_gamma 90.00
_space_group_name_H-M_alt 'C m m m'
_space_group_IT_number 65
_space_group_name_Hall '-C 2 2'
loop_
_atom_site_label
_atom_site_fract_x
_atom_site_fract_y
_atom_site_fract_z
_atom_site_occupancy
Ba1 0.0000 0.0000 0.0000 1
Mg1 0.0000 0.5000 0.0000 1
As1 0.2500 0.2500 0.5000 1

---

No. 8
# AgP2WCl meta-GGA SCAN PBEsol geometry
# total magnetic moment = 2.823 μB per formula unit
# energy = -24.245 eV/atom
# Fermi-level density of states = 4.15 states/eV/f.u.
# formation energy (no corrections) = 8.61 eV/f.u.
data_AgP2WCl
_chemical_formula_sum 'Ag1 P2 W1 Cl1'
_cell_length_a 4.6780
_cell_length_b 4.6780
_cell_length_c 4.6629
_cell_angle_alpha 90.00
_cell_angle_beta 90.00
_cell_angle_gamma 90.00
_space_group_name_H-M_alt 'P 4/m m m'
_space_group_IT_number 123
_space_group_name_Hall '-P 4 2'
loop_
_atom_site_label
_atom_site_fract_x
_atom_site_fract_y
_atom_site_fract_z
_atom_site_occupancy
Ag1 0.0000 0.0000 0.0000 1
P1 0.0000 0.5000 0.0000 1
W1 0.5000 0.5000 0.5000 1
Cl1 0.0000 0.0000 0.5000 1

---

No. 9
# Ba2AlAs meta-GGA SCAN PBEsol geometry
# total magnetic moment = 0.000 μB per formula unit
# energy = -27.104 eV/atom
# Fermi-level density of states = 2.81 states/eV/f.u.
# energy of formation from the pure elements = -0.34 eV per atom
# energy above the lowest structure with this stoichiometry = 157 meV/atom
data_Ba2AlAs
_chemical_formula_sum 'Ba4 Al2 As2'
_cell_length_a 4.7431
_cell_length_b 4.7431
_cell_length_c 11.0284
_cell_angle_alpha 90.00
_cell_angle_beta 90.00
_cell_angle_gamma 90.00
_space_group_name_H-M_alt 'I -4 m 2'
_space_group_IT_number 119
_space_group_name_Hall 'I -4 -2'
loop_
_atom_site_label
_atom_site_fract_x
_atom_site_fract_y
_atom_site_fract_z
_atom_site_occupancy
Ba1 0.0000 0.0000 0.0000 1
Ba2 0.0000 0.5000 0.2500 1
Al1 0.0000 0.0000 0.5000 1
As1 0.0000 0.5000 0.7500 1

---

No. 10
# Li2MnGeO4 meta-GGA SCAN PBEsol geometry
# total magnetic moment = 5.000 μB per formula unit
# energy = -10.507 eV/atom
# Fermi-level density of states = 0.00 states/eV/f.u.
# formation energy (no corrections) = -17.01 eV/f.u.
data_Li2MnGeO4
_chemical_formula_sum 'Li4 Mn2 Ge2 O8'
_cell_length_a 6.4102
_cell_length_b 5.4507
_cell_length_c 5.0517
_cell_angle_alpha 90.00
_cell_angle_beta 90.00
_cell_angle_gamma 90.00
_space_group_name_H-M_alt 'P m n 21'
_space_group_IT_number 31
loop_
_space_group_symop_operation_xyz
'x,y,z'
'-x+1/2,-y,z+1/2'
'-x,y,z'
'x+1/2,-y,z+1/2'
loop_
_atom_site_label
_atom_site_fract_x
_atom_site_fract_y
_atom_site_fract_z
_atom_site_occupancy
Li1 0.2496 0.1688 0.0000 1
Mn1 0.0000 0.3238 0.5015 1
Ge1 0.0000 0.6744 0.9940 1
O1 0.0000 0.3638 0.1002 1
O2 0.0000 0.6762 0.6434 1
O3 0.2254 0.8269 0.1115 1

---

No. 11
# SrZn2Sb meta-GGA SCAN PBEsol geometry
# total magnetic moment = 0.000 μB per formula unit
# energy = -21.849 eV/atom
# Fermi-level density of states = 1.38 states/eV/f.u.
# formation energy (no corrections) = -0.83 eV/f.u.
data_SrZn2Sb
_chemical_formula_sum 'Sr1 Zn2 Sb1'
_cell_length_a 4.4859
_cell_length_b 4.4859
_cell_length_c 4.6021
_cell_angle_alpha 90.00
_cell_angle_beta 90.00
_cell_angle_gamma 90.00
_space_group_name_H-M_alt 'P 4/m m m'
_space_group_IT_number 123
_space_group_name_Hall '-P 4 2'
loop_
_atom_site_label
_atom_site_fract_x
_atom_site_fract_y
_atom_site_fract_z
_atom_site_occupancy
Sr1 0.0000 0.0000 0.0000 1
Zn1 0.0000 0.5000 0.5000 1
Sb1 0.5000 0.5000 0.0000 1

---

No. 12
# BaBi2Sb2 meta-GGA SCAN PBEsol geometry
# total magnetic moment = 0.000 μB per formula unit
# energy = -54.564 eV/atom
# Fermi-level density of states = 2.43 states/eV/f.u.
# formation energy (no corrections) = -1.59 eV/f.u.
data_BaBi2Sb2
_chemical_formula_sum 'Ba2 Bi4 Sb4'
_cell_length_a 4.7107
_cell_length_b 4.7107
_cell_length_c 15.3545
_cell_angle_alpha 90.00
_cell_angle_beta 90.00
_cell_angle_gamma 90.00
_space_group_name_H-M_alt 'I 4/m m m'
_space_group_IT_number 139
_space_group_name_Hall '-I 4 2'
loop_
_atom_site_label
_atom_site_fract_x
_atom_site_fract_y
_atom_site_fract_z
_atom_site_occupancy
Ba1 0.0000 0.0000 0.0000 1
Bi1 0.0000 0.5000 0.2500 1
Sb1 0.0000 0.0000 0.4065 1